Record 1
# HoZrAg

Crystalline HoZrAg at its relaxed geometry (PBE, Alexandria).

Offset from the most stable computed form   63 meV/atom
Symmetry   P-3m1, No. 164
Formation energy   -0.0250 eV/atom

a = 4.980 Å, b = 4.980 Å, c = 6.553 Å
α = 90.00°, β = 90.00°, γ = 120.00°
Fractional positions:
Ho1 0.000 0.000 0.751
Ho2 0.000 0.000 0.249
Ag1 0.333 0.667 0.959
Ag2 0.667 0.333 0.041
Zr1 0.667 0.333 0.513
Zr2 0.333 0.667 0.487

=====

Record 2
# AcTbSbPd

Crystalline AcTbSbPd at its relaxed geometry (PBE, Alexandria).

Symmetry   F-43m, No. 216
Uncorrected formation energy   -705.1 meV per atom

a = 5.408 Å, b = 5.408 Å, c = 5.408 Å
α = 60.00°, β = 60.00°, γ = 60.00°
Site moments in Bohr magnetons follow the coordinates.
Fractional positions:
Sb1 0.750 0.750 0.750  -0.02
Ac1 0.500 0.500 0.500  0.12
Tb1 0.000 0.000 0.000  0.30
Pd1 0.250 0.250 0.250  0.06

=====

Number 1: magnetization 0.00 Bohr magnetons per cell, calculated total energy -32.10 eV/cell. Number 2: magnetization 0.81 Bohr magnetons per cell, calculated total energy -20.87 eV/cell.